# 1
{
  "formula": "Pm3NiTe",
  "functional": "PBE-GGA",
  "state": "optimized geometry",
  "lattice": [[5.3484, 0.0000, 0.0000], [0.0000, 5.3484, 0.0000], [0.0000, 0.0000, 5.3484]],
  "species": ["Pm", "Pm", "Pm", "Ni", "Te"],
  "frac_coords": [[0.0000, 0.0000, 0.5000], [0.0000, 0.5000, 0.0000], [0.5000, 0.0000, 0.0000], [0.0000, 0.0000, 0.0000], [0.5000, 0.5000, 0.5000]],
  "e_form_raw_ev_per_atom": -0.400,
  "dft_energy_ev_per_atom": -5.0346,
  "magnetic_moment_mub_per_fu": 0.00
}

***

# 2
{
  "formula": "Pm5Ni2Te",
  "functional": "PBE-GGA",
  "state": "optimized geometry",
  "lattice": [[-3.9588, 3.9588, 6.7547], [3.9588, -3.9588, 6.7547], [3.9588, 3.9588, -6.7547]],
  "species": ["Pm", "Pm", "Pm", "Pm", "Pm", "Pm", "Pm", "Pm", "Pm", "Pm", "Ni", "Ni", "Ni", "Ni", "Te", "Te"],
  "frac_coords": [[0.0000, 0.0000, 0.0000], [0.0187, 0.5187, 0.8098], [0.2090, 0.0187, 0.5000], [0.2910, 0.7910, 0.8098], [0.4813, 0.2910, 0.5000], [0.5000, 0.5000, 0.0000], [0.5187, 0.7090, 0.5000], [0.7090, 0.2090, 0.1902], [0.7910, 0.9813, 0.5000], [0.9813, 0.4813, 0.1902], [0.1310, 0.3690, 0.5000], [0.3690, 0.8690, 0.2380], [0.6310, 0.1310, 0.7620], [0.8690, 0.6310, 0.5000], [0.2500, 0.2500, 0.0000], [0.7500, 0.7500, 0.0000]],
  "e_form_raw_ev_per_atom": -0.506,
  "dft_energy_ev_per_atom": -5.3129,
  "magnetic_moment_mub_per_fu": 0.00
}

***

Calculated volume across the listed records, respectively: 30.599, 26.465 Å³/atom.